Sc2CrAs: optimized geometry, GGA-PBE. Values from VASP.

Values from the calculation:
Formation energy from the elements ... 105 kJ/mol of formula units
Crystal system ... trigonal
VASP energy ... -6.46 eV/atom

Quantum ESPRESSO input file:
```
&SYSTEM
  ibrav = 0, nat = 12, ntyp = 3
/
ATOMIC_SPECIES
Sc 44.96 Sc.upf
Cr 52.00 Cr.upf
As 74.92 As.upf
CELL_PARAMETERS angstrom
3.139 0.000 0.000
-1.570 2.719 0.000
0.000 0.000 28.822
ATOMIC_POSITIONS crystal
Sc 0.000 0.000 0.094
Sc 0.000 0.000 0.906
Sc 0.333 0.667 0.573
Sc 0.333 0.667 0.761
Sc 0.667 0.333 0.239
Sc 0.667 0.333 0.427
Cr 0.000 0.000 0.500
Cr 0.333 0.667 0.167
Cr 0.667 0.333 0.833
As 0.000 0.000 0.000
As 0.333 0.667 0.667
As 0.667 0.333 0.333
```

Er2Mg4Sc: optimized geometry, GGA-PBE. Values from VASP.

Values from the calculation:
Formation energy from the elements ... 20 kJ/mol of formula units
Polymorph energy (0 for the lowest one) ... 0 meV per atom
Crystal system ... trigonal
VASP energy ... -3.09 eV/atom

Quantum ESPRESSO input file:
```
&SYSTEM
  ibrav = 0, nat = 7, ntyp = 3
/
ATOMIC_SPECIES
Er 167.26 Er.upf
Mg 24.30 Mg.upf
Sc 44.96 Sc.upf
CELL_PARAMETERS angstrom
2.601 1.502 7.640
-2.601 1.502 7.640
0.000 -3.004 7.640
ATOMIC_POSITIONS crystal
Er 0.211 0.211 0.211
Er 0.789 0.789 0.789
Mg 0.070 0.070 0.070
Mg 0.362 0.362 0.362
Mg 0.638 0.638 0.638
Mg 0.930 0.930 0.930
Sc 0.500 0.500 0.500
```

NaPr6Tl5: optimized geometry, GGA-PBE. Values from VASP.

Values from the calculation:
Formation energy from the elements ... -356 kJ/mol of formula units
Polymorph energy (0 for the lowest one) ... 0 meV per atom
Crystal system ... orthorhombic
VASP energy ... -3.79 eV/atom

Quantum ESPRESSO input file:
```
&SYSTEM
  ibrav = 0, nat = 12, ntyp = 3
/
ATOMIC_SPECIES
Na 22.99 Na.upf
Pr 140.91 Pr.upf
Tl 204.38 Tl.upf
CELL_PARAMETERS angstrom
-2.794 3.911 8.434
2.794 -3.911 8.434
2.794 3.911 -8.434
ATOMIC_POSITIONS crystal
Na 0.000 0.000 0.000
Pr 0.082 0.829 0.253
Pr 0.261 0.500 0.761
Pr 0.424 0.171 0.253
Pr 0.576 0.829 0.747
Pr 0.739 0.500 0.239
Pr 0.918 0.171 0.747
Tl 0.153 0.653 0.500
Tl 0.333 0.333 0.000
Tl 0.500 0.000 0.500
Tl 0.667 0.667 0.000
Tl 0.847 0.347 0.500
```

TaSb3W: optimized geometry, GGA-PBE. Values from VASP.

Values from the calculation:
Polymorph energy (0 for the lowest one) ... 0 meV per atom
Crystal system ... cubic
VASP energy ... -5.99 eV/atom
Raw formation energy ... 139.7 kJ/mol of atoms

Quantum ESPRESSO input file:
```
&SYSTEM
  ibrav = 0, nat = 5, ntyp = 3
/
ATOMIC_SPECIES
Ta 180.95 Ta.upf
Sb 121.76 Sb.upf
W 183.84 W.upf
CELL_PARAMETERS angstrom
5.216 0.000 0.000
0.000 5.216 0.000
0.000 0.000 5.216
ATOMIC_POSITIONS crystal
Ta 0.000 0.000 0.000
Sb 0.000 0.500 0.500
Sb 0.500 0.000 0.500
Sb 0.500 0.500 0.000
W 0.500 0.500 0.500
```

Tb3Pm2Sm6Tm: optimized geometry, GGA-PBE. Values from VASP.

Values from the calculation:
Formation energy from the elements ... 16 kJ/mol of formula units
Crystal system ... monoclinic
VASP energy ... -4.67 eV/atom

Quantum ESPRESSO input file:
```
&SYSTEM
  ibrav = 0, nat = 12, ntyp = 4
/
ATOMIC_SPECIES
Tb 158.93 Tb.upf
Pm 145.00 Pm.upf
Sm 150.36 Sm.upf
Tm 168.93 Tm.upf
CELL_PARAMETERS angstrom
3.121 -5.404 0.000
3.121 5.404 0.000
-2.078 0.000 11.756
ATOMIC_POSITIONS crystal
Tb 0.000 0.000 0.000
Tb 0.334 0.666 0.000
Tb 0.666 0.334 0.000
Pm 0.167 0.833 0.500
Pm 0.833 0.167 0.500
Sm 0.084 0.416 0.249
Sm 0.252 0.252 0.751
Sm 0.416 0.084 0.249
Sm 0.584 0.916 0.751
Sm 0.748 0.748 0.249
Sm 0.916 0.584 0.751
Tm 0.500 0.500 0.500
```

NiP3: optimized geometry, GGA-PBE. Values from VASP.

Values from the calculation:
Formation energy from the elements ... -8 kJ/mol of formula units
Polymorph energy (0 for the lowest one) ... 280 meV per atom
Crystal system ... trigonal
VASP energy ... -5.52 eV/atom

Quantum ESPRESSO input file:
```
&SYSTEM
  ibrav = 0, nat = 12, ntyp = 2
/
ATOMIC_SPECIES
Ni 58.69 Ni.upf
P 30.97 P.upf
CELL_PARAMETERS angstrom
3.311 0.000 0.000
-1.655 2.867 0.000
0.000 0.000 17.075
ATOMIC_POSITIONS crystal
Ni 0.000 0.000 0.000
Ni 0.333 0.667 0.667
Ni 0.667 0.333 0.333
P 0.000 0.000 0.252
P 0.000 0.000 0.500
P 0.000 0.000 0.748
P 0.333 0.667 0.167
P 0.333 0.667 0.414
P 0.333 0.667 0.919
P 0.667 0.333 0.081
P 0.667 0.333 0.586
P 0.667 0.333 0.833
```

Q: Which value of VASP energy does entry 5 give?
A: -4.67 eV/atom

Q: Among the records above, which one has the lowest VASP energy?
A: Sc2CrAs

Q: Number 4 is which compound?
A: TaSb3W